VASP calculation (meta-GGA SCAN) on KZn2AsW at its PBEsol-relaxed geometry.

Geometry as extended XYZ:
```
5
Lattice="5.013 0.000 0.000 0.000 5.013 0.000 0.000 0.000 4.767" Properties=species:S:1:pos:R:3 pbc="T T T"
K 0.000 0.000 0.000
Zn 0.000 2.506 2.384
Zn 2.506 0.000 2.384
As 2.506 2.506 2.384
W 2.506 2.506 0.000
```

Summary:
Energy relative to the elements, kJ/mol of atoms: 98

=====

VASP calculation (meta-GGA SCAN) on MnSb2P at its PBEsol-relaxed geometry.

Geometry as extended XYZ:
```
4
Lattice="3.310 0.000 0.000 0.000 3.310 0.000 0.000 0.000 6.767" Properties=species:S:1:pos:R:3 pbc="T T T"
Mn 0.000 0.000 0.000
Sb 1.655 1.655 1.559
Sb 1.655 1.655 5.208
P 0.000 0.000 3.384
```

Summary:
Formation energy without anion corrections, meV/atom: 376

=====

VASP calculation (meta-GGA SCAN) on SrYNiMo2 at its PBEsol-relaxed geometry.

Geometry as extended XYZ:
```
5
Lattice="4.963 0.000 0.000 0.000 4.963 0.000 0.000 0.000 4.814" Properties=species:S:1:pos:R:3 pbc="T T T"
Sr 0.000 0.000 0.000
Y 2.482 2.482 2.407
Ni 2.482 2.482 0.000
Mo 0.000 2.482 2.407
Mo 2.482 0.000 2.407
```

Summary:
Energy relative to the elements, kJ/mol of atoms: 164

=====

VASP calculation (meta-GGA SCAN) on YInIN2 at its PBEsol-relaxed geometry.

Geometry as extended XYZ:
```
5
Lattice="4.273 0.000 0.000 0.000 4.273 0.000 0.000 0.000 5.544" Properties=species:S:1:pos:R:3 pbc="T T T"
Y 0.000 0.000 0.000
In 2.137 2.137 2.772
I 2.137 2.137 0.000
N 0.000 2.137 2.772
N 2.137 0.000 2.772
```

Summary:
Formation energy without anion corrections, meV/atom: 758

=====

VASP calculation (meta-GGA SCAN) on LiPdN2F at its PBEsol-relaxed geometry.

Geometry as extended XYZ:
```
5
Lattice="3.674 0.000 0.000 0.000 3.674 0.000 0.000 0.000 5.526" Properties=species:S:1:pos:R:3 pbc="T T T"
Li 0.000 0.000 0.000
Pd 1.837 1.837 2.763
N 0.000 1.837 2.763
N 1.837 0.000 2.763
F 1.837 1.837 0.000
```

Summary:
Formation energy without anion corrections, meV/atom: 449

=====

VASP calculation (meta-GGA SCAN) on BaHg3Pt at its PBEsol-relaxed geometry.

Geometry as extended XYZ:
```
5
Lattice="6.030 0.000 0.000 0.000 6.030 0.000 0.000 0.000 6.030" Properties=species:S:1:pos:R:3 pbc="T T T"
Ba 0.000 0.000 0.000
Hg 0.000 0.000 3.015
Hg 0.000 3.015 0.000
Hg 3.015 0.000 0.000
Pt 3.015 3.015 3.015
```

Summary:
Energy above the most stable polymorph in this dataset, meV per atom: 1492.5
Energy relative to the elements, kJ/mol of atoms: 97

=====

VASP calculation (meta-GGA SCAN) on SrMg2 at its PBEsol-relaxed geometry.

Geometry as extended XYZ:
```
6
Lattice="2.178 -7.809 0.000 2.178 7.809 0.000 0.000 0.000 5.445" Properties=species:S:1:pos:R:3 pbc="T T T"
Sr 2.178 6.491 4.084
Sr 2.178 -6.491 1.361
Mg 2.178 4.011 1.361
Mg 2.178 1.646 4.084
Mg 2.178 -1.646 1.361
Mg 2.178 -4.011 4.084
```

Summary:
Energy relative to the elements, kJ/mol of atoms: 0

=====

VASP calculation (meta-GGA SCAN) on K2CaTa at its PBEsol-relaxed geometry.

Geometry as extended XYZ:
```
4
Lattice="4.861 0.000 0.000 0.000 4.861 0.000 0.000 0.000 6.231" Properties=species:S:1:pos:R:3 pbc="T T T"
K 0.000 2.430 0.000
K 2.430 0.000 0.000
Ca 0.000 0.000 3.115
Ta 2.430 2.430 3.115
```

Summary:
Energy above the most stable polymorph in this dataset, meV per atom: 149.4
Energy relative to the elements, kJ/mol of atoms: 124

=====

Repeat the second record exactly.
VASP calculation (meta-GGA SCAN) on MnSb2P at its PBEsol-relaxed geometry.

Geometry as extended XYZ:
```
4
Lattice="3.310 0.000 0.000 0.000 3.310 0.000 0.000 0.000 6.767" Properties=species:S:1:pos:R:3 pbc="T T T"
Mn 0.000 0.000 0.000
Sb 1.655 1.655 1.559
Sb 1.655 1.655 5.208
P 0.000 0.000 3.384
```

Summary:
Formation energy without anion corrections, meV/atom: 376